A plane-wave DFT calculation with GGA-PBE was carried out for an optimized crystal structure of V2BiTeN. Values from VASP.

Summary:
uncorrected formation energy	2.1646	eV per atom
M_tot	4.05	μB/f.u.
calculated density	4.36	g/cm³
D(E_F)	4.97	states/eV per cell
total DFT energy (no corrections)	-4.55	eV per atom

```
&SYSTEM
  ibrav = 0, nat = 5, ntyp = 4
/
ATOMIC_SPECIES
V 50.94 V.upf
Bi 208.98 Bi.upf
N 14.01 N.upf
Te 127.60 Te.upf
ATOMIC_POSITIONS crystal
V 0.500 0.000 0.000
V 0.000 0.500 0.000
Bi 0.000 0.000 0.000
N 0.500 0.500 0.500
Te 0.000 0.000 0.500
CELL_PARAMETERS angstrom
5.398 0.000 0.000
0.000 5.398 0.000
0.000 0.000 5.914
```

A plane-wave DFT calculation with GGA-PBE was carried out for an optimized crystal structure of VBiTeN2. Values from VASP.

Summary:
excess energy over the best structure of this formula in the dataset	1.193	eV per atom
uncorrected formation energy	1.8769	eV per atom
M_tot	1.49	μB/f.u.
calculated density	5.81	g/cm³
D(E_F)	7.62	states/eV per cell
total DFT energy (no corrections)	-4.68	eV per atom

```
&SYSTEM
  ibrav = 0, nat = 5, ntyp = 4
/
ATOMIC_SPECIES
Te 127.60 Te.upf
Bi 208.98 Bi.upf
N 14.01 N.upf
V 50.94 V.upf
ATOMIC_POSITIONS crystal
Te 0.000 0.000 0.500
Bi 0.000 0.000 0.000
N 0.000 0.500 0.000
N 0.500 0.000 0.000
V 0.500 0.500 0.500
CELL_PARAMETERS angstrom
4.224 0.000 0.000
0.000 4.224 0.000
0.000 0.000 6.652
```

A plane-wave DFT calculation with GGA-PBE was carried out for an optimized crystal structure of VBiTe2N. Values from VASP.

Summary:
excess energy over the best structure of this formula in the dataset	0.000	eV per atom
uncorrected formation energy	0.0254	eV per atom
M_tot	0.81	μB/f.u.
calculated density	7.70	g/cm³
D(E_F)	2.98	states/eV per cell
total DFT energy (no corrections)	-5.50	eV per atom

```
&SYSTEM
  ibrav = 0, nat = 5, ntyp = 4
/
ATOMIC_SPECIES
Te 127.60 Te.upf
V 50.94 V.upf
Bi 208.98 Bi.upf
N 14.01 N.upf
ATOMIC_POSITIONS crystal
Te 0.000 0.500 0.000
Te 0.500 0.000 0.000
V 0.000 0.000 0.000
Bi 0.500 0.500 0.500
N 0.000 0.000 0.500
CELL_PARAMETERS angstrom
5.550 0.000 0.000
0.000 5.550 0.000
0.000 0.000 3.703
```

A plane-wave DFT calculation with GGA-PBE was carried out for an optimized crystal structure of VBiTeN2. Values from VASP.

Summary:
excess energy over the best structure of this formula in the dataset	0.000	eV per atom
uncorrected formation energy	0.6841	eV per atom
M_tot	0.00	μB/f.u.
calculated density	7.74	g/cm³
D(E_F)	3.54	states/eV per cell
total DFT energy (no corrections)	-5.87	eV per atom

```
&SYSTEM
  ibrav = 0, nat = 5, ntyp = 4
/
ATOMIC_SPECIES
N 14.01 N.upf
Te 127.60 Te.upf
Bi 208.98 Bi.upf
V 50.94 V.upf
ATOMIC_POSITIONS crystal
N 0.000 0.500 0.000
N 0.500 0.000 0.000
Te 0.000 0.000 0.500
Bi 0.500 0.500 0.500
V 0.000 0.000 0.000
CELL_PARAMETERS angstrom
4.071 0.000 0.000
0.000 4.071 0.000
0.000 0.000 5.380
```

A plane-wave DFT calculation with GGA-PBE was carried out for an optimized crystal structure of BiTeWN2. Values from VASP.

Summary:
excess energy over the best structure of this formula in the dataset	0.000	eV per atom
uncorrected formation energy	0.6780	eV per atom
M_tot	0.32	μB/f.u.
calculated density	9.52	g/cm³
D(E_F)	3.88	states/eV per cell
total DFT energy (no corrections)	-6.65	eV per atom

```
&SYSTEM
  ibrav = 0, nat = 5, ntyp = 4
/
ATOMIC_SPECIES
N 14.01 N.upf
W 183.84 W.upf
Bi 208.98 Bi.upf
Te 127.60 Te.upf
ATOMIC_POSITIONS crystal
N 0.000 0.500 0.000
N 0.500 0.000 0.000
W 0.000 0.000 0.000
Bi 0.500 0.500 0.500
Te 0.000 0.000 0.500
CELL_PARAMETERS angstrom
4.118 0.000 0.000
0.000 4.118 0.000
0.000 0.000 5.641
```

A plane-wave DFT calculation with GGA-PBE was carried out for an optimized crystal structure of BiTeWN2. Values from VASP.

Summary:
excess energy over the best structure of this formula in the dataset	1.602	eV per atom
uncorrected formation energy	2.2797	eV per atom
M_tot	5.03	μB/f.u.
calculated density	7.12	g/cm³
D(E_F)	2.39	states/eV per cell
total DFT energy (no corrections)	-5.05	eV per atom

```
&SYSTEM
  ibrav = 0, nat = 5, ntyp = 4
/
ATOMIC_SPECIES
N 14.01 N.upf
W 183.84 W.upf
Te 127.60 Te.upf
Bi 208.98 Bi.upf
ATOMIC_POSITIONS crystal
N 0.000 0.500 0.000
N 0.500 0.000 0.000
W 0.500 0.500 0.500
Te 0.000 0.000 0.500
Bi 0.000 0.000 0.000
CELL_PARAMETERS angstrom
-2.634 3.230 0.463
-3.242 -2.658 0.096
0.638 -0.517 7.229
```

A plane-wave DFT calculation with GGA-PBE was carried out for an optimized crystal structure of YBiTeN2. Values from VASP.

Summary:
excess energy over the best structure of this formula in the dataset	0.000	eV per atom
uncorrected formation energy	0.7012	eV per atom
M_tot	0.00	μB/f.u.
calculated density	6.18	g/cm³
D(E_F)	3.57	states/eV per cell
total DFT energy (no corrections)	-5.33	eV per atom

```
&SYSTEM
  ibrav = 0, nat = 5, ntyp = 4
/
ATOMIC_SPECIES
Bi 208.98 Bi.upf
Y 88.91 Y.upf
N 14.01 N.upf
Te 127.60 Te.upf
ATOMIC_POSITIONS crystal
Bi 0.500 0.500 0.500
Y 0.000 0.000 0.000
N 0.000 0.500 0.000
N 0.500 0.000 0.000
Te 0.000 0.000 0.500
CELL_PARAMETERS angstrom
4.464 0.000 0.000
0.000 4.464 0.000
0.000 0.000 6.115
```

A plane-wave DFT calculation with GGA-PBE was carried out for an optimized crystal structure of YBiTeN2. Values from VASP.

Summary:
excess energy over the best structure of this formula in the dataset	0.150	eV per atom
uncorrected formation energy	0.8508	eV per atom
M_tot	0.00	μB/f.u.
calculated density	6.58	g/cm³
D(E_F)	2.62	states/eV per cell
total DFT energy (no corrections)	-5.18	eV per atom

```
&SYSTEM
  ibrav = 0, nat = 5, ntyp = 4
/
ATOMIC_SPECIES
Te 127.60 Te.upf
N 14.01 N.upf
Bi 208.98 Bi.upf
Y 88.91 Y.upf
ATOMIC_POSITIONS crystal
Te 0.000 0.000 0.500
N 0.500 0.000 0.000
N 0.000 0.500 0.000
Bi 0.000 0.000 0.000
Y 0.500 0.500 0.500
CELL_PARAMETERS angstrom
-1.626 2.268 -3.389
-3.755 0.588 2.196
2.150 5.024 2.331
```

A plane-wave DFT calculation with GGA-PBE was carried out for an optimized crystal structure of ZnBiTe2N. Values from VASP.

Summary:
excess energy over the best structure of this formula in the dataset	0.444	eV per atom
uncorrected formation energy	1.0816	eV per atom
M_tot	1.78	μB/f.u.
calculated density	5.75	g/cm³
D(E_F)	4.48	states/eV per cell
total DFT energy (no corrections)	-2.87	eV per atom

```
&SYSTEM
  ibrav = 0, nat = 5, ntyp = 4
/
ATOMIC_SPECIES
Zn 65.41 Zn.upf
Bi 208.98 Bi.upf
Te 127.60 Te.upf
N 14.01 N.upf
ATOMIC_POSITIONS crystal
Zn 0.500 0.500 0.500
Bi 0.000 0.000 0.000
Te 0.000 0.500 0.000
Te 0.500 0.000 0.000
N 0.000 0.000 0.500
CELL_PARAMETERS angstrom
5.990 0.000 0.000
0.000 5.990 0.000
0.000 0.000 4.373
```

A plane-wave DFT calculation with GGA-PBE was carried out for an optimized crystal structure of ZnBiTe2N. Values from VASP.

Summary:
excess energy over the best structure of this formula in the dataset	0.000	eV per atom
uncorrected formation energy	0.6373	eV per atom
M_tot	1.85	μB/f.u.
calculated density	7.35	g/cm³
D(E_F)	3.16	states/eV per cell
total DFT energy (no corrections)	-3.32	eV per atom

```
&SYSTEM
  ibrav = 0, nat = 5, ntyp = 4
/
ATOMIC_SPECIES
Te 127.60 Te.upf
Bi 208.98 Bi.upf
Zn 65.41 Zn.upf
N 14.01 N.upf
ATOMIC_POSITIONS crystal
Te 0.500 0.000 0.000
Te 0.000 0.500 0.000
Bi 0.500 0.500 0.500
Zn 0.000 0.000 0.000
N 0.000 0.000 0.500
CELL_PARAMETERS angstrom
-5.440 1.670 0.175
-1.660 -5.260 -1.410
-0.168 -0.930 3.667
```

A plane-wave DFT calculation with GGA-PBE was carried out for an optimized crystal structure of ZrBiTeN2. Values from VASP.

Summary:
excess energy over the best structure of this formula in the dataset	0.000	eV per atom
uncorrected formation energy	0.3956	eV per atom
M_tot	0.62	μB/f.u.
calculated density	6.89	g/cm³
D(E_F)	2.56	states/eV per cell
total DFT energy (no corrections)	-6.05	eV per atom

```
&SYSTEM
  ibrav = 0, nat = 5, ntyp = 4
/
ATOMIC_SPECIES
N 14.01 N.upf
Te 127.60 Te.upf
Zr 91.22 Zr.upf
Bi 208.98 Bi.upf
ATOMIC_POSITIONS crystal
N 0.500 0.000 0.000
N 0.000 0.500 0.000
Te 0.000 0.000 0.500
Zr 0.000 0.000 0.000
Bi 0.500 0.500 0.500
CELL_PARAMETERS angstrom
4.319 0.000 0.000
0.000 4.319 0.000
0.000 0.000 5.889
```

A plane-wave DFT calculation with GGA-PBE was carried out for an optimized crystal structure of ZrBiTeN2. Values from VASP.

Summary:
excess energy over the best structure of this formula in the dataset	0.994	eV per atom
uncorrected formation energy	1.3895	eV per atom
M_tot	0.00	μB/f.u.
calculated density	6.89	g/cm³
D(E_F)	4.00	states/eV per cell
total DFT energy (no corrections)	-5.05	eV per atom

```
&SYSTEM
  ibrav = 0, nat = 5, ntyp = 4
/
ATOMIC_SPECIES
Te 127.60 Te.upf
Zr 91.22 Zr.upf
N 14.01 N.upf
Bi 208.98 Bi.upf
ATOMIC_POSITIONS crystal
Te 0.000 0.000 0.500
Zr 0.500 0.500 0.500
N 0.500 0.000 0.000
N 0.000 0.500 0.000
Bi 0.000 0.000 0.000
CELL_PARAMETERS angstrom
4.306 0.000 0.000
0.000 4.306 0.000
0.000 0.000 5.928
```

A plane-wave DFT calculation with GGA-PBE was carried out for an optimized crystal structure of ZrBiTe2N. Values from VASP.

Summary:
excess energy over the best structure of this formula in the dataset	1.038	eV per atom
uncorrected formation energy	0.9802	eV per atom
M_tot	0.78	μB/f.u.
calculated density	6.54	g/cm³
D(E_F)	5.09	states/eV per cell
total DFT energy (no corrections)	-4.43	eV per atom

```
&SYSTEM
  ibrav = 0, nat = 5, ntyp = 4
/
ATOMIC_SPECIES
Zr 91.22 Zr.upf
N 14.01 N.upf
Te 127.60 Te.upf
Bi 208.98 Bi.upf
ATOMIC_POSITIONS crystal
Zr 0.500 0.500 0.500
N 0.000 0.000 0.500
Te 0.000 0.500 0.000
Te 0.500 0.000 0.000
Bi 0.000 0.000 0.000
CELL_PARAMETERS angstrom
5.860 0.000 0.000
0.000 5.860 0.000
0.000 0.000 4.208
```

A plane-wave DFT calculation with GGA-PBE was carried out for an optimized crystal structure of ZrBiTe2N. Values from VASP.

Summary:
excess energy over the best structure of this formula in the dataset	0.000	eV per atom
uncorrected formation energy	-0.0583	eV per atom
M_tot	0.00	μB/f.u.
calculated density	6.92	g/cm³
D(E_F)	3.67	states/eV per cell
total DFT energy (no corrections)	-5.47	eV per atom

```
&SYSTEM
  ibrav = 0, nat = 5, ntyp = 4
/
ATOMIC_SPECIES
N 14.01 N.upf
Te 127.60 Te.upf
Zr 91.22 Zr.upf
Bi 208.98 Bi.upf
ATOMIC_POSITIONS crystal
N 0.000 0.000 0.500
Te 0.500 0.000 0.000
Te 0.000 0.500 0.000
Zr 0.000 0.000 0.000
Bi 0.500 0.500 0.500
CELL_PARAMETERS angstrom
-0.049 -5.814 -0.347
5.083 0.127 -2.843
1.968 -0.226 3.509
```